Tb3Ho2Tm: optimized geometry, PBE.

a b c (Å): 7.1195 7.1234 8.7557
angles (deg): 78.24 78.27 60.03
Fractional positions:
Tb1 0.1390 0.1393 0.1657
Tb2 0.2502 0.7497 0.4996
Tb3 0.3611 0.8609 0.8331
Tb4 0.6389 0.1391 0.1669
Tb5 0.7498 0.2503 0.5004
Tb6 0.8610 0.8607 0.8343
Ho1 0.1390 0.6381 0.1676
Ho2 0.3608 0.3615 0.8337
Ho3 0.6392 0.6385 0.1663
Ho4 0.8610 0.3619 0.8324
Tm1 0.2497 0.2502 0.5003
Tm2 0.7503 0.7498 0.4997

Properties
energy of formation	0.002	eV/atom
N(E_F)	14.69	states/eV/cell

Tb7Ho2Tm3: optimized geometry, PBE.

a b c (Å): 6.1642 5.4325 11.9747
angles (deg): 90.00 90.72 90.00
Fractional positions:
Tb1 0.0000 0.0000 0.0000
Tb2 0.0886 0.5000 0.1698
Tb3 0.2389 0.5000 0.4550
Tb4 0.4391 0.0000 0.1807
Tb5 0.5609 0.0000 0.8193
Tb6 0.7611 0.5000 0.5450
Tb7 0.9114 0.5000 0.8302
Ho1 0.3926 0.5000 0.7228
Ho2 0.6074 0.5000 0.2772
Tm1 0.0579 0.0000 0.6579
Tm2 0.5000 0.5000 0.0000
Tm3 0.9421 0.0000 0.3421

Properties
energy of formation	0.311	eV/atom
relative energy among the computed polymorphs	222.0	meV per atom
N(E_F)	19.14	states/eV/cell

Tb16Ho7Tm6: optimized geometry, PBE.

a b c (Å): 11.0493 11.0493 11.0493
angles (deg): 60.00 60.00 60.00
Fractional positions:
Tb1 0.0491 0.6503 0.6503
Tb2 0.1235 0.1235 0.1235
Tb3 0.1235 0.1235 0.6296
Tb4 0.1235 0.6296 0.1235
Tb5 0.3497 0.3497 0.3497
Tb6 0.3497 0.3497 0.9509
Tb7 0.3497 0.9509 0.3497
Tb8 0.3704 0.8765 0.8765
Tb9 0.6296 0.1235 0.1235
Tb10 0.6503 0.0491 0.6503
Tb11 0.6503 0.6503 0.0491
Tb12 0.6503 0.6503 0.6503
Tb13 0.8765 0.3704 0.8765
Tb14 0.8765 0.8765 0.3704
Tb15 0.8765 0.8765 0.8765
Tb16 0.9509 0.3497 0.3497
Ho1 0.0000 0.0000 0.0000
Ho2 0.0000 0.0000 0.5000
Ho3 0.0000 0.5000 0.0000
Ho4 0.0000 0.5000 0.5000
Ho5 0.5000 0.0000 0.0000
Ho6 0.5000 0.0000 0.5000
Ho7 0.5000 0.5000 0.0000
Tm1 0.2712 0.2712 0.7288
Tm2 0.2712 0.7288 0.2712
Tm3 0.2712 0.7288 0.7288
Tm4 0.7288 0.2712 0.2712
Tm5 0.7288 0.2712 0.7288
Tm6 0.7288 0.7288 0.2712

Properties
energy of formation	0.238	eV/atom
N(E_F)	46.65	states/eV/cell

Tb3Ho4Tm4: optimized geometry, PBE.

a b c (Å): 3.4503 5.5547 17.9382
angles (deg): 81.13 84.50 89.99
Fractional positions:
Tb1 0.0000 0.0000 0.0000
Tb2 0.1364 0.6365 0.7268
Tb3 0.8636 0.3635 0.2732
Ho1 0.2664 0.2666 0.4668
Ho2 0.4094 0.9098 0.1812
Ho3 0.5906 0.0902 0.8188
Ho4 0.7336 0.7334 0.5332
Tm1 0.3194 0.8191 0.3617
Tm2 0.4548 0.4547 0.0912
Tm3 0.5452 0.5453 0.9088
Tm4 0.6806 0.1809 0.6383

Properties
energy of formation	0.063	eV/atom
relative energy among the computed polymorphs	0.0	meV per atom
N(E_F)	18.72	states/eV/cell